Record 1
## La4PmTm8 (PBE-GGA)

Data for a relaxed La4PmTm8 crystal.

Calculated values
Raw total energy   -4.08 eV per atom
DOS at the Fermi energy   25.0 states/eV/f.u.

The structure in CIF format:
```
data_La4PmTm8
_chemical_formula_sum 'La12 Pm3 Tm24'
_cell_length_a 11.0448
_cell_length_b 11.0448
_cell_length_c 13.4683
_cell_angle_alpha 90.00
_cell_angle_beta 90.00
_cell_angle_gamma 120.00
_space_group_name_H-M_alt 'R -3 m'
_space_group_IT_number 166
_space_group_name_Hall '-R 3 2"'
loop_
_atom_site_label
_atom_site_type_symbol
_atom_site_fract_x
_atom_site_fract_y
_atom_site_fract_z
_atom_site_occupancy
La1 La 0.0000 0.0000 0.0000 1
La2 La 0.0000 0.5000 0.0000 1
Pm1 Pm 0.0000 0.0000 0.5000 1
Tm1 Tm 0.0000 0.0000 0.2393 1
Tm2 Tm 0.0137 0.5069 0.7457 1
```

***

Record 2
## Ca2PrPd3 (PBE-GGA)

Data for a relaxed Ca2PrPd3 crystal.

Calculated values
Raw total energy   -4.77 eV per atom
DOS at the Fermi energy   1.9 states/eV/f.u.

The structure in CIF format:
```
data_Ca2PrPd3
_chemical_formula_sum 'Ca8 Pr4 Pd12'
_cell_length_a 5.052
_cell_length_b 15.056
_cell_length_c 7.232
_cell_angle_alpha 90.00
_cell_angle_beta 90.00
_cell_angle_gamma 90.00
_space_group_name_H-M_alt 'C m m m'
_space_group_IT_number 65
_space_group_name_Hall '-C 2 2'
loop_
_atom_site_label
_atom_site_type_symbol
_atom_site_fract_x
_atom_site_fract_y
_atom_site_fract_z
_atom_site_occupancy
Ca1 Ca 0.000 0.000 0.000 1
Ca2 Ca 0.000 0.000 0.500 1
Ca3 Ca 0.000 0.333 0.000 1
Pr1 Pr 0.000 0.337 0.500 1
Pd1 Pd 0.000 0.169 0.257 1
Pd2 Pd 0.000 0.500 0.247 1
```

***

Record 3
## Hg2SbPd9 (PBE-GGA)

Data for a relaxed Hg2SbPd9 crystal.

Calculated values
Raw total energy   -4.50 eV per atom
DOS at the Fermi energy   12.2 states/eV/f.u.

The structure in CIF format:
```
data_Hg2SbPd9
_chemical_formula_sum 'Hg2 Sb1 Pd9'
_cell_length_a 4.061
_cell_length_b 4.061
_cell_length_c 12.106
_cell_angle_alpha 90.00
_cell_angle_beta 90.00
_cell_angle_gamma 90.00
_space_group_name_H-M_alt 'P 4/m m m'
_space_group_IT_number 123
_space_group_name_Hall '-P 4 2'
loop_
_atom_site_label
_atom_site_type_symbol
_atom_site_fract_x
_atom_site_fract_y
_atom_site_fract_z
_atom_site_occupancy
Hg1 Hg 0.000 0.000 0.166 1
Sb1 Sb 0.000 0.000 0.500 1
Pd1 Pd 0.000 0.500 0.000 1
Pd2 Pd 0.000 0.500 0.338 1
Pd3 Pd 0.500 0.500 0.170 1
Pd4 Pd 0.500 0.500 0.500 1
```

***

Record 4
## Ca2Ga12Pt7 (PBE-GGA)

Data for a relaxed Ca2Ga12Pt7 crystal.

Calculated values
Raw total energy   -4.63 eV per atom
DOS at the Fermi energy   4.4 states/eV/f.u.

The structure in CIF format:
```
data_Ca2Ga12Pt7
_chemical_formula_sum 'Ca2 Ga12 Pt7'
_cell_length_a 10.1850
_cell_length_b 10.1850
_cell_length_c 4.1158
_cell_angle_alpha 90.00
_cell_angle_beta 90.00
_cell_angle_gamma 120.00
_space_group_name_H-M_alt 'P -6'
_space_group_IT_number 174
_space_group_name_Hall 'P -6'
loop_
_atom_site_label
_atom_site_type_symbol
_atom_site_fract_x
_atom_site_fract_y
_atom_site_fract_z
_atom_site_occupancy
Ca1 Ca 0.0000 0.0000 0.0000 1
Ca2 Ca 0.3333 0.6667 0.5000 1
Ga1 Ga 0.0236 0.7430 0.5000 1
Ga2 Ga 0.1438 0.3968 0.0000 1
Ga3 Ga 0.3706 0.1800 0.0000 1
Ga4 Ga 0.5354 0.1217 0.5000 1
Pt1 Pt 0.0325 0.5773 0.0000 1
Pt2 Pt 0.2439 0.0119 0.5000 1
Pt3 Pt 0.6667 0.3333 0.0000 1
```

***

> Which value of DOS at the Fermi energy does entry 2 give?

1.9 states/eV/f.u.

***

> Among the records above, which one has the highest DOS at the Fermi energy?

La4PmTm8

***

> Which value of raw total energy does entry 3 give?

-4.50 eV per atom